The following is a DFT calculation (GGA-PBE) of an optimized crystal structure of ScVRh.

a = 2.971 Å, b = 2.971 Å, c = 23.050 Å
α = 90.00°, β = 90.00°, γ = 90.00°
Space group I4/mmm (No. 139)
Asymmetric unit:
Sc 0.000 0.000 0.068 (multiplicity 4)
V 0.000 0.000 0.216 (multiplicity 4)
Rh 0.000 0.000 0.350 (multiplicity 4)

Computed properties:
The value obtained for the energy above the most stable polymorph in this dataset is 0.0 meV/atom. The calculation puts the energy of formation from the pure elements at -0.3776 eV per atom.

The following is a DFT calculation (GGA-PBE) of an optimized crystal structure of BaLa3Tl.

a = 5.928 Å, b = 5.928 Å, c = 5.928 Å
α = 90.00°, β = 90.00°, γ = 90.00°
Space group Pm-3m (No. 221)
Asymmetric unit:
Ba 0.000 0.000 0.000 (multiplicity 1)
La 0.000 0.000 0.500 (multiplicity 3)
Tl 0.500 0.500 0.500 (multiplicity 1)

Computed properties:
The value obtained for the energy above the most stable polymorph in this dataset is 530.1 meV/atom. The calculation puts the energy of formation from the pure elements at 0.7119 eV per atom.

The following is a DFT calculation (GGA-PBE) of an optimized crystal structure of In3AgPd.

a = 5.171 Å, b = 5.171 Å, c = 5.171 Å
α = 90.00°, β = 90.00°, γ = 90.00°
Space group Pm-3m (No. 221)
Asymmetric unit:
In 0.000 0.000 0.500 (multiplicity 3)
Ag 0.500 0.500 0.500 (multiplicity 1)
Pd 0.000 0.000 0.000 (multiplicity 1)

Computed properties:
The value obtained for the energy above the most stable polymorph in this dataset is 211.1 meV/atom. The calculation puts the energy of formation from the pure elements at 0.0486 eV per atom.

The following is a DFT calculation (GGA-PBE) of an optimized crystal structure of TbSm2ErSe6.

a = 7.2888 Å, b = 7.2888 Å, c = 19.5393 Å
α = 90.00°, β = 90.00°, γ = 120.00°
Space group R3 (No. 146, hexagonal axes)
Asymmetric unit:
Tb 0.0000 0.0000 0.0000 (multiplicity 3)
Sm 0.0000 0.0000 0.3007 (multiplicity 3)
Sm 0.0000 0.0000 0.8013 (multiplicity 3)
Er 0.0000 0.0000 0.4991 (multiplicity 3)
Se 0.0364 0.6813 0.5697 (multiplicity 9)
Se 0.0379 0.3600 0.0704 (multiplicity 9)

Computed properties:
As for the uncorrected formation energy: -178 kJ/mol of atoms.

The following is a DFT calculation (GGA-PBE) of an optimized crystal structure of Hf3CdC.

a = 6.391 Å, b = 10.599 Å, c = 6.204 Å
α = 90.00°, β = 90.00°, γ = 90.00°
Space group Cmcm (No. 63)
Asymmetric unit:
Hf 0.000 0.000 0.000 (multiplicity 4)
Hf 0.245 0.239 0.250 (multiplicity 8)
Cd 0.000 0.489 0.250 (multiplicity 4)
C 0.000 0.142 0.750 (multiplicity 4)

Computed properties:
The value obtained for the energy above the most stable polymorph in this dataset is 679.7 meV/atom. The calculation puts the energy of formation from the pure elements at 0.2456 eV per atom.

The following is a DFT calculation (GGA-PBE) of an optimized crystal structure of BaHo2Mg9.

a = 6.1629 Å, b = 6.1629 Å, c = 29.9802 Å
α = 90.00°, β = 90.00°, γ = 120.00°
Space group R-3m (No. 166, hexagonal axes)
Asymmetric unit:
Ba 0.0000 0.0000 0.0000 (multiplicity 3)
Ho 0.0000 0.0000 0.1495 (multiplicity 6)
Mg 0.0000 0.0000 0.3343 (multiplicity 6)
Mg 0.0000 0.0000 0.5000 (multiplicity 3)
Mg 0.0058 0.5029 0.9133 (multiplicity 18)

Computed properties:
The calculation puts the energy of formation from the pure elements at -0.0557 eV per atom.

The following is a DFT calculation (GGA-PBE) of an optimized crystal structure of Li2PrY2Sb2.

a = 4.7628 Å, b = 4.7628 Å, c = 27.2070 Å
α = 90.00°, β = 90.00°, γ = 120.00°
Space group R-3m (No. 166, hexagonal axes)
Asymmetric unit:
Li 0.0000 0.0000 0.0897 (multiplicity 6)
Pr 0.0000 0.0000 0.5000 (multiplicity 3)
Y 0.0000 0.0000 0.3686 (multiplicity 6)
Sb 0.0000 0.0000 0.2394 (multiplicity 6)

Computed properties:
As for the uncorrected formation energy: -58 kJ/mol of atoms.

The following is a DFT calculation (GGA-PBE) of an optimized crystal structure of NbRe3Ge.

a = 4.802 Å, b = 4.802 Å, c = 4.802 Å
α = 90.00°, β = 90.00°, γ = 90.00°
Space group Pm-3m (No. 221)
Asymmetric unit:
Nb 0.000 0.000 0.000 (multiplicity 1)
Re 0.000 0.000 0.500 (multiplicity 3)
Ge 0.500 0.500 0.500 (multiplicity 1)

Computed properties:
The value obtained for the energy above the most stable polymorph in this dataset is 989.1 meV/atom. The calculation puts the energy of formation from the pure elements at 2.4030 eV per atom.

The following is a DFT calculation (GGA-PBE) of an optimized crystal structure of LaPuTc.

a = 4.958 Å, b = 4.406 Å, c = 7.382 Å
α = 90.00°, β = 97.37°, γ = 90.00°
Space group P2_1/m (No. 11)
Asymmetric unit:
La 0.224 0.250 0.352 (multiplicity 2)
Pu 0.316 0.250 0.847 (multiplicity 2)
Tc 0.179 0.750 0.064 (multiplicity 2)

Computed properties:
The value obtained for the energy above the most stable polymorph in this dataset is 0.0 meV/atom. The calculation puts the energy of formation from the pure elements at 0.0666 eV per atom.

The following is a DFT calculation (GGA-PBE) of an optimized crystal structure of PrPuPd.

a = 7.048 Å, b = 7.048 Å, c = 7.048 Å
α = 90.00°, β = 90.00°, γ = 90.00°
Space group F-43m (No. 216)
Asymmetric unit:
Pr 0.000 0.000 0.000 (multiplicity 4)
Pu 0.000 0.000 0.500 (multiplicity 4)
Pd 0.250 0.250 0.750 (multiplicity 4)

Computed properties:
The value obtained for the energy above the most stable polymorph in this dataset is 208.5 meV/atom. The calculation puts the energy of formation from the pure elements at -0.1859 eV per atom.

The following is a DFT calculation (GGA-PBE) of an optimized crystal structure of Y2Al3ZnAu4.

a = 4.343 Å, b = 4.343 Å, c = 10.556 Å
α = 90.00°, β = 90.00°, γ = 90.00°
Space group P-4m2 (No. 115)
Asymmetric unit:
Y 0.000 0.500 0.248 (multiplicity 2)
Al 0.000 0.000 0.000 (multiplicity 1)
Al 0.000 0.500 0.631 (multiplicity 2)
Zn 0.500 0.500 0.000 (multiplicity 1)
Au 0.000 0.000 0.500 (multiplicity 1)
Au 0.000 0.500 0.864 (multiplicity 2)
Au 0.500 0.500 0.500 (multiplicity 1)

Computed properties:
The calculation puts the energy of formation from the pure elements at -0.6620 eV per atom.

The following is a DFT calculation (GGA-PBE) of an optimized crystal structure of PuPdPt.

a = 5.0762 Å, b = 5.0762 Å, c = 16.5926 Å
α = 90.00°, β = 90.00°, γ = 120.00°
Space group R-3m (No. 166, hexagonal axes)
Asymmetric unit:
Pu 0.0000 0.0000 0.2477 (multiplicity 6)
Pd 0.0000 0.0000 0.4183 (multiplicity 6)
Pt 0.0000 0.0000 0.0803 (multiplicity 6)

Computed properties:
The value obtained for the energy above the most stable polymorph in this dataset is 262.1 meV/atom. The calculation puts the energy of formation from the pure elements at -0.4474 eV per atom.

The following is a DFT calculation (GGA-PBE) of an optimized crystal structure of Sb2IrO.

a = 5.497 Å, b = 5.497 Å, c = 11.709 Å
α = 90.00°, β = 90.00°, γ = 90.00°
Space group I-42d (No. 122)
Asymmetric unit:
Sb 0.214 0.250 0.125 (multiplicity 8)
Ir 0.000 0.000 0.500 (multiplicity 4)
O 0.000 0.000 0.000 (multiplicity 4)

Computed properties:
As for the uncorrected formation energy: -18 kJ/mol of atoms.

The following is a DFT calculation (GGA-PBE) of an optimized crystal structure of Pr3Y3In2.

a = 5.211 Å, b = 12.024 Å, c = 16.497 Å
α = 90.00°, β = 90.00°, γ = 90.00°
Space group Cmcm (No. 63)
Asymmetric unit:
Pr 0.000 0.041 0.105 (multiplicity 8)
Pr 0.000 0.269 0.250 (multiplicity 4)
Y 0.000 0.360 0.038 (multiplicity 8)
Y 0.000 0.452 0.750 (multiplicity 4)
In 0.000 0.238 0.632 (multiplicity 8)

Computed properties:
The value obtained for the energy above the most stable polymorph in this dataset is 94.1 meV/atom. The calculation puts the energy of formation from the pure elements at -0.1783 eV per atom.

The following is a DFT calculation (GGA-PBE) of an optimized crystal structure of SrNd5Cd6.

a = 5.494 Å, b = 7.771 Å, c = 16.474 Å
α = 90.00°, β = 90.00°, γ = 90.00°
Space group Immm (No. 71)
Asymmetric unit:
Sr 0.000 0.000 0.000 (multiplicity 2)
Nd 0.000 0.000 0.331 (multiplicity 4)
Nd 0.000 0.500 0.000 (multiplicity 2)
Nd 0.000 0.500 0.337 (multiplicity 4)
Cd 0.000 0.236 0.500 (multiplicity 4)
Cd 0.000 0.257 0.170 (multiplicity 8)

Computed properties:
The calculation puts the energy of formation from the pure elements at -0.3109 eV per atom.

The following is a DFT calculation (GGA-PBE) of an optimized crystal structure of CrCd3Cl.

a = 5.376 Å, b = 5.376 Å, c = 5.376 Å
α = 90.00°, β = 90.00°, γ = 90.00°
Space group Pm-3m (No. 221)
Asymmetric unit:
Cr 0.000 0.000 0.000 (multiplicity 1)
Cd 0.000 0.500 0.500 (multiplicity 3)
Cl 0.500 0.500 0.500 (multiplicity 1)

Computed properties:
The value obtained for the energy above the most stable polymorph in this dataset is 436.3 meV/atom. As for the uncorrected formation energy: 74 kJ/mol of atoms.

The following is a DFT calculation (GGA-PBE) of an optimized crystal structure of LiMg2Al5.

a = 5.816 Å, b = 5.816 Å, c = 8.459 Å
α = 90.00°, β = 90.00°, γ = 90.00°
Space group I4/mmm (No. 139)
Asymmetric unit:
Li 0.000 0.000 0.000 (multiplicity 2)
Mg 0.000 0.500 0.000 (multiplicity 4)
Al 0.000 0.000 0.500 (multiplicity 2)
Al 0.250 0.250 0.250 (multiplicity 8)

Computed properties:
The calculation puts the energy of formation from the pure elements at -0.0241 eV per atom.

The following is a DFT calculation (GGA-PBE) of an optimized crystal structure of Ho8Cd2Co.

a = 17.269 Å, b = 5.370 Å, c = 6.826 Å
α = 90.00°, β = 110.52°, γ = 90.00°
Space group C2/m (No. 12)
Asymmetric unit:
Ho 0.019 0.000 0.283 (multiplicity 4)
Ho 0.092 0.500 0.912 (multiplicity 4)
Ho 0.146 0.500 0.442 (multiplicity 4)
Ho 0.198 0.000 0.778 (multiplicity 4)
Cd 0.183 0.000 0.205 (multiplicity 4)
Co 0.000 0.500 0.500 (multiplicity 2)

Computed properties:
The value obtained for the energy above the most stable polymorph in this dataset is 0.0 meV/atom. The calculation puts the energy of formation from the pure elements at -0.1232 eV per atom.

The following is a DFT calculation (GGA-PBE) of an optimized crystal structure of Ca2FeSb.

a = 3.5492 Å, b = 3.5492 Å, c = 29.0572 Å
α = 90.00°, β = 90.00°, γ = 120.00°
Space group R-3m (No. 166, hexagonal axes)
Asymmetric unit:
Ca 0.0000 0.0000 0.2428 (multiplicity 6)
Fe 0.0000 0.0000 0.5000 (multiplicity 3)
Sb 0.0000 0.0000 0.0000 (multiplicity 3)

Computed properties:
As for the uncorrected formation energy: 15 kJ/mol of atoms.

The following is a DFT calculation (GGA-PBE) of an optimized crystal structure of LaPrPa.

a = 3.401 Å, b = 20.681 Å, c = 5.262 Å
α = 90.00°, β = 90.00°, γ = 90.00°
Space group Cmcm (No. 63)
Asymmetric unit:
La 0.000 0.211 0.250 (multiplicity 4)
Pr 0.000 0.048 0.250 (multiplicity 4)
Pa 0.000 0.375 0.250 (multiplicity 4)

Computed properties:
The value obtained for the energy above the most stable polymorph in this dataset is 131.0 meV/atom. The calculation puts the energy of formation from the pure elements at 0.3008 eV per atom.

The following is a DFT calculation (GGA-PBE) of an optimized crystal structure of NaPr2Ag.

a = 3.556 Å, b = 3.556 Å, c = 10.082 Å
α = 90.00°, β = 90.00°, γ = 90.00°
Space group P4/mmm (No. 123)
Asymmetric unit:
Na 0.000 0.000 0.000 (multiplicity 1)
Pr 0.500 0.500 0.298 (multiplicity 2)
Ag 0.000 0.000 0.500 (multiplicity 1)

Computed properties:
The value obtained for the energy above the most stable polymorph in this dataset is 0.0 meV/atom. The calculation puts the energy of formation from the pure elements at 0.0148 eV per atom.

The following is a DFT calculation (GGA-PBE) of an optimized crystal structure of MoW4Se.

a = 7.489 Å, b = 7.489 Å, c = 7.489 Å
α = 90.00°, β = 90.00°, γ = 90.00°
Space group F-43m (No. 216)
Asymmetric unit:
Mo 0.000 0.000 0.000 (multiplicity 4)
W 0.125 0.125 0.375 (multiplicity 16)
Se 0.250 0.250 0.750 (multiplicity 4)

Computed properties:
As for the uncorrected formation energy: 74 kJ/mol of atoms.

The following is a DFT calculation (GGA-PBE) of an optimized crystal structure of Sr2SbPtN.

a = 5.745 Å, b = 5.745 Å, c = 3.799 Å
α = 90.00°, β = 90.00°, γ = 90.00°
Space group P4/mmm (No. 123)
Asymmetric unit:
Sr 0.000 0.500 0.000 (multiplicity 2)
Sb 0.000 0.000 0.500 (multiplicity 1)
Pt 0.500 0.500 0.500 (multiplicity 1)
N 0.500 0.500 0.000 (multiplicity 1)

Computed properties:
As for the uncorrected formation energy: -73 kJ/mol of atoms.

The following is a DFT calculation (GGA-PBE) of an optimized crystal structure of LaRhF3.

a = 4.692 Å, b = 4.692 Å, c = 4.692 Å
α = 90.00°, β = 90.00°, γ = 90.00°
Space group Pm-3m (No. 221)
Asymmetric unit:
La 0.000 0.000 0.000 (multiplicity 1)
Rh 0.500 0.500 0.500 (multiplicity 1)
F 0.000 0.000 0.500 (multiplicity 3)

Computed properties:
The value obtained for the energy above the most stable polymorph in this dataset is 0.0 meV/atom. As for the uncorrected formation energy: -216 kJ/mol of atoms.

The following is a DFT calculation (GGA-PBE) of an optimized crystal structure of K2GdH4.

a = 4.367 Å, b = 4.367 Å, c = 14.415 Å
α = 90.00°, β = 90.00°, γ = 90.00°
Space group I4/mmm (No. 139)
Asymmetric unit:
K 0.000 0.000 0.156 (multiplicity 4)
Gd 0.000 0.000 0.500 (multiplicity 2)
H 0.000 0.000 0.342 (multiplicity 4)
H 0.000 0.500 0.000 (multiplicity 4)

Computed properties:
The value obtained for the total energy is -62.8 eV/cell.

The following is a DFT calculation (GGA-PBE) of an optimized crystal structure of Li2AcCePb2.

a = 4.9266 Å, b = 4.9266 Å, c = 8.0339 Å
α = 90.00°, β = 90.00°, γ = 120.00°
Space group P-3m1 (No. 164)
Asymmetric unit:
Li 0.3333 0.6667 0.2049 (multiplicity 2)
Ac 0.0000 0.0000 0.5000 (multiplicity 1)
Ce 0.0000 0.0000 0.0000 (multiplicity 1)
Pb 0.3333 0.6667 0.7730 (multiplicity 2)

Computed properties:
The calculation puts the energy of formation from the pure elements at -0.4632 eV per atom.

| no. | M_tot (μB per atom) |
| --- | --- |
| 1 | 0.000 |
| 2 | 0.000 |
| 3 | 0.000 |
| 4 | 0.000 |
| 5 | 0.000 |
| 6 | 0.000 |
| 7 | 0.140 |
| 8 | 0.568 |
| 9 | 1.682 |
| 10 | 2.181 |
| 11 | 0.000 |
| 12 | 1.636 |
| 13 | 0.000 |
| 14 | 0.000 |
| 15 | 0.089 |
| 16 | 0.977 |
| 17 | 0.000 |
| 18 | 0.000 |
| 19 | 0.609 |
| 20 | 0.000 |
| 21 | 0.000 |
| 22 | 0.000 |
| 23 | 0.000 |
| 24 | 0.275 |
| 25 | 1.091 |
| 26 | 0.142 |